Record 1
A plane-wave DFT calculation with PBE-GGA was carried out for In2AsP after structural relaxation.

a = 7.432 Å, b = 7.432 Å, c = 7.432 Å
α = 33.54°, β = 33.54°, γ = 33.54°
Element x y z (fractional)
P 0.375 0.375 0.375
As 0.875 0.875 0.875
In 0.002 0.002 0.002
In 0.497 0.497 0.497

Values from the calculation:
Calculated formation energy, eV per atom: -0.217
ΔE to the lowest computed polymorph, meV/atom: 8

Record 2
A plane-wave DFT calculation with PBE-GGA was carried out for In2AsP after structural relaxation.

a = 3.480 Å, b = 3.480 Å, c = 7.129 Å
α = 90.00°, β = 90.00°, γ = 90.01°
Element x y z (fractional)
As 0.500 0.500 0.750
In 0.000 0.000 0.017
In 0.000 0.000 0.483
P 0.500 0.500 0.250

Values from the calculation:
Calculated formation energy, eV per atom: 0.284
ΔE to the lowest computed polymorph, meV/atom: 509

Record 3
A plane-wave DFT calculation with PBE-GGA was carried out for InAsP3 after structural relaxation.

a = 4.782 Å, b = 4.782 Å, c = 4.782 Å
α = 90.00°, β = 90.00°, γ = 90.00°
Element x y z (fractional)
P 0.000 0.500 0.000
P 0.000 0.000 0.500
P 0.500 0.000 0.000
As 0.000 0.000 0.000
In 0.500 0.500 0.500

Values from the calculation:
Calculated formation energy, eV per atom: 0.823
ΔE to the lowest computed polymorph, meV/atom: 0

Record 4
A plane-wave DFT calculation with PBE-GGA was carried out for In2AsP after structural relaxation.

a = 9.167 Å, b = 9.167 Å, c = 9.167 Å
α = 22.07°, β = 22.07°, γ = 22.07°
Element x y z (fractional)
As 0.770 0.770 0.770
In 0.003 0.003 0.003
In 0.241 0.241 0.241
P 0.487 0.487 0.487

Values from the calculation:
Calculated formation energy, eV per atom: 0.088
ΔE to the lowest computed polymorph, meV/atom: 313

Record 5
A plane-wave DFT calculation with PBE-GGA was carried out for In12As5P3 after structural relaxation.

a = 14.341 Å, b = 14.341 Å, c = 14.341 Å
α = 109.47°, β = 109.47°, γ = 109.47°
Element x y z (fractional)
P 0.750 0.375 0.125
P 0.875 0.750 0.125
P 0.375 0.750 0.625
P 0.250 0.125 0.375
P 0.875 0.125 0.250
P 0.375 0.625 0.250
P 0.625 0.375 0.750
P 0.125 0.875 0.750
P 0.750 0.875 0.625
P 0.625 0.250 0.375
P 0.125 0.250 0.875
P 0.250 0.625 0.875
As 0.125 0.375 0.250
As 0.000 0.500 0.000
As 0.000 0.000 0.000
As 0.375 0.250 0.125
As 0.500 0.000 0.500
As 0.500 0.500 0.000
As 0.125 0.750 0.375
As 0.750 0.125 0.875
As 0.750 0.625 0.375
As 0.375 0.125 0.750
As 0.625 0.875 0.250
As 0.500 0.500 0.500
As 0.500 0.000 0.000
As 0.000 0.000 0.500
As 0.250 0.375 0.625
As 0.250 0.875 0.125
As 0.000 0.500 0.500
As 0.875 0.250 0.625
As 0.625 0.750 0.875
As 0.875 0.625 0.750
In 0.728 0.142 0.060
In 0.332 0.560 0.417
In 0.940 0.358 0.272
In 0.560 0.228 0.142
In 0.586 0.728 0.668
In 0.940 0.583 0.168
In 0.332 0.772 0.414
In 0.083 0.914 0.142
In 0.583 0.940 0.668
In 0.728 0.586 0.168
In 0.772 0.440 0.358
In 0.832 0.917 0.060
In 0.142 0.728 0.560
In 0.358 0.417 0.086
In 0.086 0.917 0.358
In 0.414 0.142 0.583
In 0.086 0.168 0.228
In 0.440 0.668 0.083
In 0.832 0.914 0.272
In 0.142 0.414 0.083
In 0.358 0.940 0.772
In 0.583 0.642 0.414
In 0.917 0.832 0.560
In 0.772 0.332 0.914
In 0.417 0.358 0.586
In 0.083 0.168 0.440
In 0.228 0.668 0.086
In 0.168 0.086 0.728
In 0.642 0.060 0.228
In 0.858 0.586 0.917
In 0.560 0.332 0.917
In 0.586 0.858 0.417
In 0.914 0.832 0.772
In 0.914 0.083 0.642
In 0.858 0.272 0.440
In 0.168 0.083 0.940
In 0.642 0.583 0.914
In 0.417 0.060 0.332
In 0.272 0.414 0.832
In 0.228 0.560 0.642
In 0.917 0.086 0.858
In 0.668 0.228 0.586
In 0.440 0.772 0.858
In 0.060 0.417 0.832
In 0.414 0.272 0.332
In 0.060 0.642 0.728
In 0.668 0.440 0.583
In 0.272 0.858 0.940

Values from the calculation:
Calculated formation energy, eV per atom: 0.093

Record 6
A plane-wave DFT calculation with PBE-GGA was carried out for In2AsP after structural relaxation.

a = 3.866 Å, b = 3.078 Å, c = 7.522 Å
α = 90.24°, β = 90.00°, γ = 90.00°
Element x y z (fractional)
As 0.500 0.750 0.750
In 0.000 0.236 0.996
In 0.000 0.264 0.504
P 0.500 0.250 0.250

Values from the calculation:
Calculated formation energy, eV per atom: 0.189
ΔE to the lowest computed polymorph, meV/atom: 414

Record 7
A plane-wave DFT calculation with PBE-GGA was carried out for InAsP after structural relaxation.

a = 3.422 Å, b = 3.422 Å, c = 7.018 Å
α = 90.00°, β = 90.00°, γ = 120.00°
Element x y z (fractional)
As 0.000 0.000 0.744
In 0.667 0.333 0.318
P 0.333 0.667 0.938

Values from the calculation:
Calculated formation energy, eV per atom: 0.091
ΔE to the lowest computed polymorph, meV/atom: 0

Record 8
A plane-wave DFT calculation with PBE-GGA was carried out for In2AsP after structural relaxation.

a = 4.825 Å, b = 4.825 Å, c = 3.752 Å
α = 90.00°, β = 90.00°, γ = 96.72°
Element x y z (fractional)
As 0.000 0.500 0.500
In 0.000 0.000 0.000
In 0.500 0.500 0.000
P 0.500 0.000 0.500

Values from the calculation:
Calculated formation energy, eV per atom: 0.288
ΔE to the lowest computed polymorph, meV/atom: 513

Record 9
A plane-wave DFT calculation with PBE-GGA was carried out for In2AsP after structural relaxation.

a = 5.444 Å, b = 5.444 Å, c = 5.444 Å
α = 131.79°, β = 131.79°, γ = 70.56°
Element x y z (fractional)
As 0.750 0.250 0.500
In 0.000 0.000 0.000
In 0.250 0.750 0.500
P 0.500 0.500 0.000

Values from the calculation:
Calculated formation energy, eV per atom: 0.387
ΔE to the lowest computed polymorph, meV/atom: 612

Record 10
A plane-wave DFT calculation with PBE-GGA was carried out for In3AsP after structural relaxation.

a = 5.170 Å, b = 5.170 Å, c = 5.170 Å
α = 90.00°, β = 90.00°, γ = 90.00°
Element x y z (fractional)
P 0.000 0.000 0.000
As 0.500 0.500 0.500
In 0.000 0.500 0.000
In 0.000 0.000 0.500
In 0.500 0.000 0.000

Values from the calculation:
Calculated formation energy, eV per atom: 0.368
ΔE to the lowest computed polymorph, meV/atom: 0

Record 11
A plane-wave DFT calculation with PBE-GGA was carried out for InAs3P after structural relaxation.

a = 4.844 Å, b = 4.844 Å, c = 4.844 Å
α = 90.00°, β = 90.00°, γ = 90.00°
Element x y z (fractional)
P 0.000 0.000 0.000
As 0.000 0.500 0.000
As 0.000 0.000 0.500
As 0.500 0.000 0.000
In 0.500 0.500 0.500

Values from the calculation:
Calculated formation energy, eV per atom: 0.526
ΔE to the lowest computed polymorph, meV/atom: 0

Record 12
A plane-wave DFT calculation with PBE-GGA was carried out for In2AsP after structural relaxation.

a = 4.140 Å, b = 5.529 Å, c = 3.900 Å
α = 90.00°, β = 90.00°, γ = 90.00°
Element x y z (fractional)
As 0.000 0.500 0.500
In 0.000 0.000 0.000
In 0.500 0.500 0.000
P 0.500 0.000 0.500

Values from the calculation:
Calculated formation energy, eV per atom: 0.296
ΔE to the lowest computed polymorph, meV/atom: 521

Record 13
A plane-wave DFT calculation with PBE-GGA was carried out for In3AsP after structural relaxation.

a = 5.321 Å, b = 5.321 Å, c = 5.321 Å
α = 90.00°, β = 90.00°, γ = 90.00°
Element x y z (fractional)
P 0.500 0.500 0.500
As 0.000 0.000 0.000
In 0.000 0.500 0.000
In 0.000 0.000 0.500
In 0.500 0.000 0.000

Values from the calculation:
Calculated formation energy, eV per atom: 0.586
ΔE to the lowest computed polymorph, meV/atom: 218

Record 14
A plane-wave DFT calculation with PBE-GGA was carried out for InAsP after structural relaxation.

a = 4.643 Å, b = 4.643 Å, c = 4.643 Å
α = 60.00°, β = 60.00°, γ = 60.00°
Element x y z (fractional)
As 0.500 0.500 0.500
In 0.250 0.250 0.250
P 0.000 0.000 0.000

Values from the calculation:
Calculated formation energy, eV per atom: 0.486
ΔE to the lowest computed polymorph, meV/atom: 395

Record 15
A plane-wave DFT calculation with PBE-GGA was carried out for InAs4P after structural relaxation.

a = 5.635 Å, b = 5.635 Å, c = 5.635 Å
α = 60.00°, β = 60.00°, γ = 60.00°
Element x y z (fractional)
In 0.750 0.750 0.750
As 0.888 0.371 0.371
As 0.371 0.371 0.888
As 0.371 0.888 0.371
As 0.371 0.371 0.371
P 0.000 0.000 0.000

Values from the calculation:
Calculated formation energy, eV per atom: 0.562

Record 16
A plane-wave DFT calculation with PBE-GGA was carried out for In2AsP after structural relaxation.

a = 3.527 Å, b = 3.527 Å, c = 7.688 Å
α = 90.00°, β = 90.00°, γ = 90.00°
Element x y z (fractional)
As 0.500 0.500 0.664
In 0.000 0.000 0.968
In 0.500 0.500 0.277
P 0.000 0.000 0.591

Values from the calculation:
Calculated formation energy, eV per atom: 0.171
ΔE to the lowest computed polymorph, meV/atom: 396

Record 17
A plane-wave DFT calculation with PBE-GGA was carried out for InAs2PPb after structural relaxation.

a = 5.254 Å, b = 5.045 Å, c = 5.254 Å
α = 90.00°, β = 90.00°, γ = 90.00°
Element x y z (fractional)
Pb 0.500 0.500 0.500
P 0.000 0.500 0.000
As 0.000 0.000 0.500
As 0.500 0.000 0.000
In 0.000 0.000 0.000

Values from the calculation:
Calculated formation energy, eV per atom: 0.743

Record 18
A plane-wave DFT calculation with PBE-GGA was carried out for InAsPPd2 after structural relaxation.

a = 4.516 Å, b = 5.200 Å, c = 4.516 Å
α = 90.00°, β = 90.00°, γ = 90.00°
Element x y z (fractional)
P 0.000 0.000 0.000
As 0.500 0.500 0.500
Pd 0.000 0.000 0.500
Pd 0.500 0.000 0.000
In 0.000 0.500 0.000

Values from the calculation:
Calculated formation energy, eV per atom: 0.229

Record 19
A plane-wave DFT calculation with PBE-GGA was carried out for InAsPPt2 after structural relaxation.

a = 4.995 Å, b = 4.824 Å, c = 4.995 Å
α = 90.00°, β = 90.00°, γ = 90.00°
Element x y z (fractional)
P 0.000 0.500 0.000
As 0.500 0.500 0.500
Pt 0.000 0.000 0.500
Pt 0.500 0.000 0.000
In 0.000 0.000 0.000

Values from the calculation:
Calculated formation energy, eV per atom: 1.242

Record 20
A plane-wave DFT calculation with PBE-GGA was carried out for InReAs2P after structural relaxation.

a = 4.700 Å, b = 5.419 Å, c = 4.700 Å
α = 90.00°, β = 90.00°, γ = 90.00°
Element x y z (fractional)
Re 0.000 0.000 0.000
As 0.000 0.000 0.500
As 0.500 0.000 0.000
P 0.500 0.500 0.500
In 0.000 0.500 0.000

Values from the calculation:
Calculated formation energy, eV per atom: 0.737

Record 21
A plane-wave DFT calculation with PBE-GGA was carried out for In4As2PS after structural relaxation.

a = 6.181 Å, b = 6.181 Å, c = 7.507 Å
α = 114.28°, β = 114.28°, γ = 90.07°
Element x y z (fractional)
In 0.633 0.633 0.755
In 0.367 0.878 0.245
In 0.878 0.367 0.245
In 0.122 0.122 0.755
As 0.750 0.250 0.500
As 0.250 0.750 0.500
P 0.000 0.000 0.000
S 0.500 0.500 0.000

Values from the calculation:
Energy relative to the elements, uncorrected, eV/atom: -0.222

Record 22
A plane-wave DFT calculation with PBE-GGA was carried out for Sr2In2AsP2 after structural relaxation.

a = 4.139 Å, b = 7.091 Å, c = 8.140 Å
α = 64.23°, β = 89.84°, γ = 73.14°
Element x y z (fractional)
Sr 0.535 0.932 0.752
Sr 0.465 0.068 0.248
In 0.791 0.416 0.696
In 0.209 0.584 0.304
As 0.000 0.000 0.000
P 0.850 0.300 0.409
P 0.150 0.700 0.591

Values from the calculation:
Calculated formation energy, eV per atom: -0.568

Record 23
A plane-wave DFT calculation with PBE-GGA was carried out for Sr2InAsP after structural relaxation.

a = 4.111 Å, b = 8.435 Å, c = 9.478 Å
α = 113.30°, β = 90.00°, γ = 90.00°
Element x y z (fractional)
Sr 0.750 0.808 0.556
Sr 0.750 0.843 0.062
Sr 0.250 0.192 0.444
Sr 0.250 0.157 0.938
In 0.250 0.469 0.834
In 0.750 0.531 0.166
As 0.250 0.760 0.787
As 0.750 0.240 0.213
P 0.250 0.774 0.298
P 0.750 0.226 0.702

Values from the calculation:
Calculated formation energy, eV per atom: -0.733

Record 24
A plane-wave DFT calculation with PBE-GGA was carried out for VInAsP2 after structural relaxation.

a = 4.438 Å, b = 5.505 Å, c = 4.438 Å
α = 90.00°, β = 90.00°, γ = 90.00°
Each line ends with the local moment (μB).
Element x y z (fractional)
P 0.000 0.000 0.500  -0.06
P 0.500 0.000 0.000  -0.04
As 0.500 0.500 0.500  0.16
V 0.000 0.000 0.000  0.62
In 0.000 0.500 0.000  0.01

Values from the calculation:
Calculated formation energy, eV per atom: 0.478

Record 25
A plane-wave DFT calculation with PBE-GGA was carried out for ZnInAs2P after structural relaxation.

a = 5.245 Å, b = 4.899 Å, c = 5.245 Å
α = 90.00°, β = 90.00°, γ = 90.00°
Element x y z (fractional)
P 0.500 0.500 0.500
As 0.000 0.000 0.500
As 0.500 0.000 0.000
Zn 0.000 0.500 0.000
In 0.000 0.000 0.000

Values from the calculation:
Calculated formation energy, eV per atom: 1.142